LiCdSbF6 | PBE | optimized geometry

SG: P312
Size of the total moment in μB per atom: 0.00
DFT total energy in eV per cell: -39.76
Formation energy without anion corrections in eV/atom: -2.3979

Geometry as CIF:
```
data_LiCdSbF6
_cell_length_a 5.490
_cell_length_b 5.490
_cell_length_c 4.949
_cell_angle_alpha 90.00
_cell_angle_beta 90.00
_cell_angle_gamma 59.99
_space_group_name_H-M_alt 'P 1'
_space_group_IT_number 1
loop_
_space_group_symop_operation_xyz
'x,y,z'
loop_
_atom_site_label
_atom_site_type_symbol
_atom_site_fract_x
_atom_site_fract_y
_atom_site_fract_z
F1 F 0.320 0.021 0.739
F2 F 0.021 0.320 0.261
F3 F 0.659 0.021 0.261
F4 F 0.659 0.320 0.739
F5 F 0.021 0.659 0.739
F6 F 0.320 0.659 0.261
Sb1 Sb 0.000 0.000 0.000
Cd1 Cd 0.667 0.667 0.500
Li1 Li 0.333 0.333 0.500
```